Ni2IrBr: optimized geometry, GGA-PBE.

```
Ni2IrBr
1.0
4.691 0.000 0.000
1.561 4.424 0.000
-3.126 -2.212 2.710
Ni Ir Br
2 1 1
direct
0.250 0.750 0.500
0.000 0.000 0.000
0.750 0.250 0.500
0.500 0.500 0.000
```

**Formation energy without anion corrections**: 836 meV/atom
**ρ**: 11.5 g/cm3
**SG**: No. 119

LiH2Pd2: optimized geometry, GGA-PBE.

```
LiH2Pd2
1.0
2.919 0.000 0.000
0.000 4.771 0.466
0.000 -2.004 3.438
Pd H Li
2 2 1
direct
0.700 0.211 0.593
0.200 0.567 0.271
0.200 0.469 0.731
0.700 0.805 0.442
0.200 0.949 0.962
```

**ρ**: 7.3 g/cm3
**SG**: No. 6
**Uncorrected energy**: -0.150 Ha/atom

Cr2NiAs: optimized geometry, GGA-PBE.

```
Cr2NiAs
1.0
-1.258 4.876 -1.916
-3.164 0.863 4.275
1.596 4.806 3.607
As Cr Ni
2 4 2
direct
0.750 0.250 0.500
0.000 0.000 0.000
0.153 0.625 0.250
0.597 0.125 0.250
0.875 0.847 0.750
0.375 0.403 0.750
0.500 0.500 0.000
0.250 0.750 0.500
```

**ρ**: 5.5 g/cm3
**SG**: No. 122
**Energy relative to the elements**: 1.039 eV per atom

La3Tm6Sc: optimized geometry, GGA-PBE.

```
La3Tm6Sc
1.0
-1.894 -2.782 5.195
10.005 1.089 4.231
-7.350 7.920 1.560
Sc La Tm
2 6 12
direct
0.128 0.205 0.795
0.628 0.795 0.205
0.964 0.053 0.279
0.559 0.613 0.387
0.464 0.947 0.721
0.964 0.721 0.947
0.464 0.279 0.053
0.059 0.387 0.613
0.619 0.280 0.720
0.917 0.047 0.953
0.542 0.617 0.713
0.417 0.953 0.047
0.042 0.713 0.617
0.542 0.287 0.383
0.119 0.720 0.280
0.375 0.032 0.457
0.875 0.457 0.032
0.875 0.968 0.543
0.375 0.543 0.968
0.042 0.383 0.287
```

**ρ**: 7.6 g/cm3
**SG**: No. 36
**Energy relative to the elements**: 0.156 eV per atom

Li4Tb5Hg4: optimized geometry, GGA-PBE.

```
Li4Tb5Hg4
1.0
-2.049 -1.774 3.996
5.500 1.226 6.282
-4.347 6.331 3.498
Li Tb Hg
4 5 4
direct
0.103 0.471 0.323
0.426 0.677 0.471
0.574 0.323 0.529
0.897 0.529 0.677
0.625 0.677 0.074
0.301 0.074 0.323
0.375 0.323 0.926
0.000 0.000 0.000
0.699 0.926 0.677
0.061 0.197 0.682
0.939 0.803 0.318
0.258 0.682 0.803
0.742 0.318 0.197
```

**ρ**: 8.5 g/cm3
**SG**: No. 87
**Energy relative to the elements**: -0.305 eV per atom

NdCo2PN: optimized geometry, GGA-PBE.

```
NdCo2PN
1.0
-3.555 0.061 -0.702
2.705 -2.157 -4.529
-0.616 -6.201 2.586
Nd N Co P
2 2 4 2
direct
0.458 0.916 0.750
0.542 0.084 0.250
0.000 0.000 0.500
0.000 0.000 0.000
0.170 0.341 0.555
0.830 0.659 0.055
0.830 0.659 0.445
0.170 0.341 0.945
0.270 0.540 0.250
0.730 0.460 0.750
```

**Formation energy without anion corrections**: -853 meV/atom
**ρ**: 7.7 g/cm3
**SG**: No. 63

LiLaErAg: optimized geometry, GGA-PBE.

```
LiLaErAg
1.0
-3.571 2.603 2.911
-2.339 -2.407 4.091
1.175 1.455 4.950
La Li Ag Er
1 1 1 1
direct
0.500 0.500 0.500
0.750 0.750 0.750
0.250 0.250 0.250
0.000 0.000 0.000
```

**ρ**: 6.7 g/cm3
**SG**: No. 216
**Energy relative to the elements**: -0.065 eV per atom